{
  "formula": "BaTeSe2F",
  "functional": "PBE",
  "state": "relaxed",
  "sg": "P4/mmm, No. 123",
  "magnetic_moment_mub_per_fu": 1.03,
  "raw_formation_energy_mev_per_atom": -727,
  "lattice": [[5.368, 0.000, 0.000], [0.000, 4.852, 0.000], [0.000, 0.000, 5.368]],
  "species": ["Se", "Se", "Te", "Ba", "F"],
  "fractional_positions": [[0.000, 0.000, 0.500], [0.500, 0.000, 0.000], [0.500, 0.500, 0.500], [0.000, 0.500, 0.000], [0.000, 0.000, 0.000]]
}